! PBE-GGA SrIrBr, optimized geometry; values from VASP
! formation energy without anion corrections	-0.929	eV/atom
! VASP energy	-0.184	Ha/atom
&SYSTEM
  ibrav = 0, nat = 6, ntyp = 3
/
ATOMIC_SPECIES
Br 79.90 Br.upf
Ir 192.22 Ir.upf
Sr 87.62 Sr.upf
CELL_PARAMETERS angstrom
3.7483 0.0000 0.0000
0.0000 3.7474 0.0127
0.0005 -0.0450 11.8438
ATOMIC_POSITIONS crystal
Br 0.6517 0.0679 0.6614
Br 0.1517 0.5739 0.9576
Ir 0.6519 0.5745 0.3095
Ir 0.1517 0.0673 0.3095
Sr 0.6517 0.0739 0.0913
Sr 0.1517 0.5679 0.5277